No. 1
## CsCuSbTe3 (GGA-PBE)

Data for CsCuSbTe3 after structural relaxation.

Geometry as POSCAR:
```
CsCuSbTe3
1.0
10.6296 0.0000 0.0000
0.0000 4.3127 0.0000
-4.3836 0.0000 9.7709
Cs Cu Sb Te
2 2 2 6
Direct
0.2396 0.2500 0.2079
0.7604 0.7500 0.7921
0.4282 0.7500 0.9331
0.5718 0.2500 0.0669
0.1425 0.2500 0.6687
0.8575 0.7500 0.3313
0.1583 0.7500 0.8749
0.1677 0.7500 0.4772
0.4593 0.2500 0.8014
0.5407 0.7500 0.1986
0.8323 0.2500 0.5228
0.8417 0.2500 0.1251
```

- Raw formation energy: -0.37 eV/atom
- DOS at the Fermi energy: 7.70 states/eV per cell
- Space-group type: P2_1/m
- Theoretical density: 5.2 Mg/m³

=====

No. 2
## Fe7Br (GGA-PBE)

Data for Fe7Br after structural relaxation.

Geometry as POSCAR:
```
Fe7Br
1.0
0.0000 3.7361 3.7361
3.7361 0.0000 3.7361
3.7361 3.7361 0.0000
Fe Br
7 1
Direct
0.0000 0.0000 0.0000
0.0000 0.0000 0.5000
0.0000 0.5000 0.0000
0.0000 0.5000 0.5000
0.5000 0.0000 0.0000
0.5000 0.0000 0.5000
0.5000 0.5000 0.0000
0.5000 0.5000 0.5000
```

- Raw formation energy: 0.47 eV/atom
- DOS at the Fermi energy: 8.70 states/eV per cell
- Space-group type: Fm-3m
- Theoretical density: 7.5 Mg/m³

=====

No. 3
## EuMgZn (GGA-PBE)

Data for EuMgZn after structural relaxation.

Geometry as POSCAR:
```
EuMgZn
1.0
4.9280 0.0000 0.0000
-2.4640 4.2677 0.0000
0.0000 0.0000 3.7457
Eu Mg Zn
1 1 1
Direct
0.0000 0.0000 0.0000
0.6667 0.3333 0.5000
0.3333 0.6667 0.5000
```

- ΔH_f (0 K): -144 meV/atom
- DOS at the Fermi energy: 5.57 states/eV per cell
- Space-group type: P-6m2
- Theoretical density: 5.1 Mg/m³

=====

No. 4
## Ti2Ni2Mo (GGA-PBE)

Data for Ti2Ni2Mo after structural relaxation.

Geometry as POSCAR:
```
Ti2Ni2Mo
1.0
7.0196 0.0000 0.0000
0.0000 7.0196 0.0000
0.0000 0.0000 2.8647
Ti Ni Mo
4 4 2
Direct
0.1602 0.3398 0.0000
0.3398 0.8398 0.0000
0.6602 0.1602 0.0000
0.8398 0.6602 0.0000
0.1357 0.6357 0.5000
0.3643 0.1357 0.5000
0.6357 0.8643 0.5000
0.8643 0.3643 0.5000
0.0000 0.0000 0.0000
0.5000 0.5000 0.0000
```

- ΔH_f (0 K): -166 meV/atom
- DOS at the Fermi energy: 3.48 states/eV per cell
- Space-group type: P4/mbm
- Theoretical density: 7.3 Mg/m³
- E above lowest polymorph: 0.028 eV per atom

=====

No. 5
## ZnAgHg2F6 (GGA-PBE)

Data for ZnAgHg2F6 after structural relaxation.

Geometry as POSCAR:
```
ZnAgHg2F6
1.0
5.8441 0.0000 0.0000
2.6406 5.2256 0.0000
2.6673 1.6167 4.9553
Zn Ag Hg F
1 1 2 6
Direct
0.0000 0.0000 0.0000
0.5463 0.5449 0.5486
0.2920 0.2951 0.2928
0.7579 0.7565 0.7562
0.1259 0.3328 0.7508
0.1618 0.9161 0.6300
0.3322 0.7507 0.1249
0.6316 0.1591 0.9160
0.7494 0.1244 0.3338
0.9148 0.6315 0.1591
```

- Raw formation energy: -1.48 eV/atom
- DOS at the Fermi energy: 0.81 states/eV per cell
- Space-group type: P1
- Theoretical density: 7.6 Mg/m³

=====

No. 6
## EuInAgRh (GGA-PBE)

Data for EuInAgRh after structural relaxation.

Geometry as POSCAR:
```
EuInAgRh
1.0
6.9626 0.0000 0.0000
0.0000 6.9626 0.0000
0.0000 0.0000 6.9626
Eu In Ag Rh
4 4 4 4
Direct
0.0000 0.0000 0.0000
0.0000 0.5000 0.5000
0.5000 0.0000 0.5000
0.5000 0.5000 0.0000
0.0000 0.0000 0.5000
0.0000 0.5000 0.0000
0.5000 0.0000 0.0000
0.5000 0.5000 0.5000
0.2500 0.2500 0.2500
0.2500 0.7500 0.7500
0.7500 0.2500 0.7500
0.7500 0.7500 0.2500
0.2500 0.2500 0.7500
0.2500 0.7500 0.2500
0.7500 0.2500 0.2500
0.7500 0.7500 0.7500
```

- ΔH_f (0 K): -269 meV/atom
- DOS at the Fermi energy: 39.00 states/eV per cell
- Space-group type: F-43m
- Theoretical density: 9.4 Mg/m³

=====

No. 7
## Sn3HgSe (GGA-PBE)

Data for Sn3HgSe after structural relaxation.

Geometry as POSCAR:
```
Sn3HgSe
1.0
5.5952 0.0000 0.0000
0.0000 5.5952 0.0000
0.0000 0.0000 5.5952
Sn Hg Se
3 1 1
Direct
0.0000 0.0000 0.5000
0.0000 0.5000 0.0000
0.5000 0.0000 0.0000
0.5000 0.5000 0.5000
0.0000 0.0000 0.0000
```

- Raw formation energy: 0.37 eV/atom
- DOS at the Fermi energy: 3.44 states/eV per cell
- Space-group type: Pm-3m
- Theoretical density: 6.0 Mg/m³
- E above lowest polymorph: 0.000 eV per atom

=====

No. 8
## Sn5Te2Pd12 (GGA-PBE)

Data for Sn5Te2Pd12 after structural relaxation.

Geometry as POSCAR:
```
Sn5Te2Pd12
1.0
7.6433 -3.8914 0.0000
7.6433 3.8914 0.0000
-2.5565 0.0000 6.3543
Sn Te Pd
5 2 12
Direct
0.0000 0.0000 0.0000
0.2346 0.2346 0.0655
0.2767 0.2767 0.6628
0.7233 0.7233 0.3372
0.7654 0.7654 0.9345
0.2817 0.7183 0.5000
0.7183 0.2817 0.5000
0.0853 0.0853 0.7000
0.1097 0.5176 0.3881
0.1654 0.5872 0.0066
0.4128 0.8346 0.9934
0.4624 0.4624 0.7703
0.4824 0.8903 0.6119
0.5176 0.1097 0.3881
0.5376 0.5376 0.2297
0.5872 0.1654 0.0066
0.8346 0.4128 0.9934
0.8903 0.4824 0.6119
0.9147 0.9147 0.3000
```

- Raw formation energy: -0.34 eV/atom
- DOS at the Fermi energy: 9.47 states/eV per cell
- Space-group type: C2/m
- Theoretical density: 9.3 Mg/m³

=====

Number 7 is which compound? Sn3HgSe